[1]
Computed, not measured: a geometry-optimized AlSbS2 structure at the PBE-GGA level of DFT.

calculated volume	83.9	Å³/f.u.
energy relative to the elements, uncorrected	-0.40	eV/f.u.
raw total energy	-4.13	eV/atom
E above lowest polymorph	0.5888	eV/atom

Cell: 3.4978 19.8809 4.8243 Å, 90.00 90.00 90.00°
Space group Cmcm (No. 63)
Symmetry-distinct sites (fractional):
Al (0.0000, 0.0626, 0.2500) [4 per cell]
Sb (0.0000, 0.3221, 0.2500) [4 per cell]
S (0.0000, 0.0573, 0.7500) [4 per cell]
S (0.0000, 0.1855, 0.2500) [4 per cell]

---

[2]
Computed, not measured: a geometry-optimized AlSbS2 structure at the PBE-GGA level of DFT.

calculated volume	95.0	Å³/f.u.
energy relative to the elements, uncorrected	-2.11	eV/f.u.
raw total energy	-4.56	eV/atom
E above lowest polymorph	0.1603	eV/atom

Cell: 8.9959 9.3821 5.7814 Å, 90.00 128.83 90.00°
Space group Cc (No. 9)
Symmetry-distinct sites (fractional):
Al (0.0000, 0.1416, 0.0000) [4 per cell]
Sb (0.4071, 0.0616, 0.0156) [4 per cell]
S (0.0449, 0.0948, 0.6571) [4 per cell]
S (0.1939, 0.3201, 0.3128) [4 per cell]

---

[3]
Computed, not measured: a geometry-optimized AlSbS2 structure at the PBE-GGA level of DFT.

calculated volume	80.6	Å³/f.u.
energy relative to the elements, uncorrected	-2.11	eV/f.u.
raw total energy	-4.56	eV/atom
E above lowest polymorph	0.1621	eV/atom

Cell: 6.0786 3.4213 7.9970 Å, 90.00 104.38 90.00°
Space group C2/m (No. 12)
Symmetry-distinct sites (fractional):
Al (0.0000, 0.0000, 0.0000) [2 per cell]
Sb (0.0000, 0.0000, 0.5000) [2 per cell]
S (0.1183, 0.5000, 0.8252) [4 per cell]

---

[4]
Computed, not measured: a geometry-optimized AlSbS2 structure at the PBE-GGA level of DFT.

calculated volume	99.9	Å³/f.u.
energy relative to the elements, uncorrected	-1.52	eV/f.u.
raw total energy	-4.41	eV/atom
E above lowest polymorph	0.3078	eV/atom

Cell: 6.6016 11.4903 6.0519 Å, 90.00 119.45 90.00°
Space group C2/c (No. 15)
Symmetry-distinct sites (fractional):
Al (0.0000, 0.0131, 0.2500) [4 per cell]
Sb (0.0000, 0.2853, 0.7500) [4 per cell]
S (0.2014, 0.1100, 0.6254) [8 per cell]

---

[5]
Computed, not measured: a geometry-optimized AlSbS2 structure at the PBE-GGA level of DFT.

calculated volume	87.6	Å³/f.u.
energy relative to the elements, uncorrected	-1.15	eV/f.u.
raw total energy	-4.32	eV/atom
E above lowest polymorph	0.4020	eV/atom

Cell: 3.3489 23.8126 4.3948 Å, 90.00 90.00 90.00°
Space group Cmcm (No. 63)
Symmetry-distinct sites (fractional):
Al (0.0000, 0.1904, 0.2500) [4 per cell]
Sb (0.0000, 0.4596, 0.2500) [4 per cell]
S (0.0000, 0.2861, 0.2500) [4 per cell]
S (0.0000, 0.3788, 0.7500) [4 per cell]

---

[6]
Computed, not measured: a geometry-optimized AlSbS2 structure at the PBE-GGA level of DFT.

calculated volume	83.7	Å³/f.u.
energy relative to the elements, uncorrected	-0.98	eV/f.u.
raw total energy	-4.27	eV/atom
E above lowest polymorph	0.4441	eV/atom

Cell: 5.3681 5.3681 11.6115 Å, 90.00 90.00 90.00°
Space group I4_1/amd (No. 141, origin choice 2)
Symmetry-distinct sites (fractional):
Al (0.0000, 0.2500, 0.3750) [4 per cell]
Sb (0.0000, 0.2500, 0.8750) [4 per cell]
S (0.0000, 0.2500, 0.1683) [8 per cell]

---

[7]
Computed, not measured: a geometry-optimized AlSb3S structure at the PBE-GGA level of DFT.

calculated volume	142.3	Å³/f.u.
energy relative to the elements, uncorrected	3.77	eV/f.u.
raw total energy	-3.29	eV/atom
E above lowest polymorph	0.1396	eV/atom

Cell: 5.2205 5.2205 5.2205 Å, 90.00 90.00 90.00°
Space group Pm-3m (No. 221)
Symmetry-distinct sites (fractional):
Al (0.0000, 0.0000, 0.0000) [1 per cell]
Sb (0.0000, 0.0000, 0.5000) [3 per cell]
S (0.5000, 0.5000, 0.5000) [1 per cell]

---

[8]
Computed, not measured: a geometry-optimized AlSbS2 structure at the PBE-GGA level of DFT.

calculated volume	85.7	Å³/f.u.
energy relative to the elements, uncorrected	-2.08	eV/f.u.
raw total energy	-4.55	eV/atom
E above lowest polymorph	0.1686	eV/atom

Cell: 3.4458 3.4458 8.3386 Å, 90.00 90.00 120.00°
Space group P-6m2 (No. 187)
Symmetry-distinct sites (fractional):
Al (0.0000, 0.0000, 0.0000) [1 per cell]
Sb (0.3333, 0.6667, 0.5000) [1 per cell]
S (0.3333, 0.6667, 0.1717) [2 per cell]